# 1
The following is a DFT calculation (PBE) of LaTcAs2F after structural relaxation.

Unit cell a=5.6787 b=5.6787 c=5.1055 alpha=90.00 beta=90.00 gamma=90.00
Closest atoms and distances in Å follow each position.
Positions (direct):
La: 0.0000 0.0000 0.0000  2 Tc 2.55, 4 As 2.84
Tc: 0.0000 0.0000 0.5000  2 La 2.55
As: 0.0000 0.5000 0.0000  2 La 2.84
As: 0.5000 0.0000 0.0000  2 La 2.84
F: 0.5000 0.5000 0.5000  8 As 3.82, 4 Tc 4.02

Values from the calculation:
Polymorph energy (0 for the lowest one) in eV/atom: 2.016
Size of the total moment in μB/f.u.: 1.76
E in eV per atom: -4.161
Raw formation energy in kJ/mol of atoms: 109


# 2
The following is a DFT calculation (PBE) of PdRh3W after structural relaxation.

Unit cell a=8.6001 b=8.6001 c=6.5481 alpha=105.29 beta=105.29 gamma=18.52
Closest atoms and distances in Å follow each position.
Positions (direct):
Pd: 0.1139 0.1139 0.0189  1 W 2.68, 2 Pd 2.77, 9 Rh 2.77-2.82
Pd: 0.8861 0.8861 0.9811  1 W 2.68, 2 Pd 2.77, 9 Rh 2.77-2.82
Rh: 0.2853 0.2853 0.1879  2 W 2.64, 7 Rh 2.67-2.81, 3 Pd 2.81-2.82
Rh: 0.3167 0.3167 0.6102  8 Rh 2.67-2.81, 2 W 2.76, 2 Pd 2.77
Rh: 0.4813 0.4813 0.7606  4 W 2.70-2.71, 3 Rh 2.70-2.77, 4 Pd 2.80
Rh: 0.5187 0.5187 0.2394  4 W 2.70-2.71, 3 Rh 2.70-2.77, 4 Pd 2.80
Rh: 0.6833 0.6833 0.3898  8 Rh 2.67-2.81, 2 W 2.76, 2 Pd 2.77
Rh: 0.7147 0.7147 0.8121  2 W 2.64, 7 Rh 2.67-2.81, 3 Pd 2.81-2.82
W: 0.0869 0.0869 0.5960  8 Rh 2.64-2.76, 1 Pd 2.68, 3 W 2.77-2.88
W: 0.9131 0.9131 0.4040  8 Rh 2.64-2.76, 1 Pd 2.68, 3 W 2.77-2.88

Values from the calculation:
Formation enthalpy at 0 K in eV/atom: -0.10
Polymorph energy (0 for the lowest one) in eV/atom: 0.000
Size of the total moment in μB/f.u.: 0.00
E in eV per atom: -8.139